Compound: PrGe2S
Source: OQMD
Functional: PBE
Structure: optimized geometry

Calculated values
Electronic total energy, eV/atom: -5.11
Total magnetic moment, μB/cell: 0.0
Offset from the most stable computed form, meV/atom: 132

abc: 4.9349 4.1327 10.1155
angles: 90.00 101.08 90.00
Sites, in units of the cell vectors:
Pr1 0.0144 0.2500 0.2825
Pr2 0.9856 0.7500 0.7175
Ge1 0.1274 0.2500 0.9573
Ge2 0.3600 0.7500 0.4696
Ge3 0.6400 0.2500 0.5304
Ge4 0.8726 0.7500 0.0427
S1 0.4621 0.2500 0.1500
S2 0.5379 0.7500 0.8500